# 1
Material: Ni4Ir
Method: DFT, SCAN
State: single point on PBEsol structure

Structure (POSCAR):
```
Ni4Ir
1.0
3.5388 0.0000 0.0000
1.7694 3.9644 0.0000
1.7694 0.0000 3.9644
Ir Ni
1 4
Cartesian
0.0000 0.0000 0.0000 Ir
1.7694 1.5946 0.7954 Ni
3.5388 0.7954 2.3698 Ni
3.5388 3.1689 1.5946 Ni
5.3082 2.3698 3.1689 Ni
```

Calculated values
calculated volume = 55.62 Å³/cell
energy relative to the elements = 0.006 eV per atom

---

# 2
Material: BaTaTc2
Method: DFT, SCAN
State: single point on PBEsol structure

Structure (POSCAR):
```
BaTaTc2
1.0
-3.4646 -1.6298 2.7089
0.0428 -4.4676 1.4272
0.8246 -1.0152 4.5042
Tc Ta Ba
2 1 1
Cartesian
0.0000 0.0000 0.0000 Tc
-1.9480 -5.3344 6.4802 Tc
-0.6493 -1.7781 2.1601 Ta
-1.2986 -3.5563 4.3201 Ba
```

Calculated values
calculated volume = 72.96 Å³/cell
energy relative to the elements = 1.200 eV per atom

---

# 3
Material: CrWSe
Method: DFT, SCAN
State: single point on PBEsol structure

Structure (POSCAR):
```
CrWSe
1.0
-2.0647 -1.8615 -0.9913
-0.2217 -1.6701 3.5978
-1.4726 4.1609 -0.3526
W Cr Se
1 1 1
Cartesian
-2.0088 -0.9732 1.6178 W
-0.0261 0.0239 0.0095 Cr
-1.7241 1.5786 0.6266 Se
```

Calculated values
calculated volume = 43.05 Å³/cell
E above lowest polymorph = 0 meV/atom
raw formation energy = 0.62 eV/atom

---

# 4
Material: YTa2CoAs
Method: DFT, SCAN
State: single point on PBEsol structure

Structure (POSCAR):
```
YTa2CoAs
1.0
-0.7975 -4.5049 1.7838
2.7030 1.0867 3.9528
-4.1044 1.6576 2.3510
As Y Ta Co
1 1 2 1
Cartesian
-2.0522 0.8288 1.1755 As
0.0000 0.0000 0.0000 Y
1.3515 0.5433 1.9764 Ta
-0.3988 -2.2524 0.8919 Ta
-1.0994 -0.8803 4.0438 Co
```

Calculated values
calculated volume = 120.85 Å³/cell
energy relative to the elements = 2.366 eV per atom

---

# 5
Material: Co2AsRh
Method: DFT, SCAN
State: single point on PBEsol structure

Structure (POSCAR):
```
Co2AsRh
1.0
-1.4291 1.6111 -2.9778
-3.3850 -0.7466 1.2206
2.3402 2.6459 2.5761
As Co Rh
1 2 1
Cartesian
-1.7259 1.1658 1.4590 As
-0.7480 2.3446 -0.6402 Co
0.0000 0.0000 0.0000 Co
-2.4070 0.4322 -0.8786 Rh
```

Calculated values
calculated volume = 47.48 Å³/cell
energy relative to the elements = -0.038 eV per atom

---

# 6
Material: HgAsHI2
Method: DFT, SCAN
State: single point on PBEsol structure

Structure (POSCAR):
```
HgAsHI2
1.0
-0.6805 -3.1505 -1.7444
3.4942 -2.6278 3.3827
-4.1586 -1.0350 3.4917
As I H Hg
1 2 1 1
Cartesian
-0.3403 -1.5753 -0.8722 As
-2.0793 -0.5175 1.7458 I
1.7471 -1.3139 1.6913 I
0.0000 0.0000 0.0000 H
-0.6725 -3.4067 2.5650 Hg
```

Calculated values
calculated volume = 111.99 Å³/cell
DFT total energy = -162.712 eV/cell

---

# 7
Material: GdTlMo2O8
Method: DFT, SCAN
State: single point on PBEsol structure

Structure (POSCAR):
```
GdTlMo2O8
1.0
-3.2439 3.9324 0.3882
-3.1018 -3.2100 6.5966
12.3423 9.1679 10.2646
Gd Mo O Tl
4 8 32 4
Cartesian
9.9281 6.6952 15.1390 Gd
2.1350 4.0775 10.2008 Gd
-0.6876 -0.7373 1.7222 Gd
3.8616 5.8129 7.0486 Gd
0.2665 5.9958 7.6398 Mo
9.4739 10.0772 9.5700 Mo
7.9459 8.7513 12.5916 Mo
-3.4773 -0.1869 7.6795 Mo
1.1855 6.2255 12.9923 Mo
5.7301 3.8946 9.6096 Mo
-1.9493 1.1390 4.6578 Mo
4.8111 3.6649 4.2572 Mo
4.3712 4.1292 10.7661 O
6.4084 8.6083 16.7589 O
-1.8735 -0.3655 5.6426 O
-3.5374 1.6734 3.8993 O
1.6254 5.7611 6.4834 O
1.5954 1.8424 9.7779 O
3.9520 8.1100 10.8633 O
7.3007 7.4736 11.6279 O
0.8971 6.2938 3.7346 O
6.7370 9.0056 13.8444 O
-0.7404 0.8847 3.4050 O
2.0447 1.7803 6.3861 O
-3.7518 1.1701 6.5294 O
5.0995 3.5965 13.5148 O
-1.3041 2.4167 5.6215 O
7.9833 9.7684 8.7574 O
5.7677 5.8559 5.6218 O
7.8701 10.2559 11.6068 O
4.4012 8.0479 7.4716 O
9.7484 8.7202 10.7200 O
0.4000 4.6228 8.7320 O
-1.6040 3.2629 2.3194 O
3.6508 4.0471 5.5789 O
2.3458 5.8432 11.6705 O
9.5340 8.2169 13.3502 O
7.6006 6.6275 14.9300 O
-1.9867 0.1219 8.4920 O
2.6254 6.2675 9.0325 O
-0.4118 1.2821 0.4905 O
3.3712 3.6229 8.2169 O
5.5967 5.2676 8.5175 O
0.2289 4.0344 11.6276 O
8.7204 6.2511 9.5465 Tl
0.5201 -0.2931 7.3147 Tl
0.9273 3.6333 4.6083 Tl
5.0693 6.2570 12.6411 Tl
```

Calculated values
calculated volume = 752.77 Å³/cell
raw formation energy = -2.43 eV/atom

---

# 8
Material: K2Li3NiO4
Method: DFT, SCAN
State: single point on PBEsol structure

Structure (POSCAR):
```
K2Li3NiO4
1.0
5.4764 0.0000 0.0076
0.0000 8.6665 0.0000
-1.4931 0.0000 10.1050
O Li Ni K
16 12 4 8
Cartesian
3.6640 3.4264 6.2134 O
1.6723 0.9069 1.1571 O
4.6705 5.9805 1.2251 O
0.3193 5.2402 3.8992 O
2.3110 7.7596 8.9555 O
1.1835 1.5054 6.5347 O
-0.6872 2.6860 8.8875 O
3.9046 0.4500 6.3011 O
4.6683 2.8278 1.4860 O
-0.6850 5.8387 8.6266 O
2.0704 4.7833 8.8678 O
1.1858 7.0193 6.2738 O
0.0788 8.2165 3.8115 O
1.9129 3.8833 1.2448 O
2.7998 7.1611 3.5780 O
2.7976 1.6472 3.8388 O
0.2732 4.5573 2.0210 Li
1.7185 0.2241 3.0353 Li
3.7432 4.2952 0.6758 Li
0.2401 4.3713 9.4368 Li
2.8399 2.2869 2.0030 Li
4.6281 6.6202 3.0610 Li
2.2648 8.4425 7.0773 Li
-0.6448 2.0463 7.0516 Li
0.2585 0.0380 5.7245 Li
3.7101 4.1092 8.0916 Li
1.1434 6.3796 8.1096 Li
3.7249 8.6285 4.3881 Li
2.7777 1.8875 5.6776 Ni
0.7860 2.4457 0.6213 Ni
1.2057 6.7790 4.4350 Ni
3.1973 6.2208 9.4913 Ni
1.9541 6.6848 1.0861 K
2.0293 1.9817 9.0266 K
-0.4420 8.5964 8.7046 K
3.9457 6.3150 6.1424 K
0.9406 4.2632 6.4567 K
4.4254 0.0701 1.4080 K
3.0427 4.4034 3.6559 K
0.0376 2.3516 3.9703 K
```

Calculated values
calculated volume = 479.70 Å³/cell
raw formation energy = -1.69 eV/atom